[1]
HoCuSbPd: relaxed, PBE.

## Properties
Total moment in μB/atom: 0.000
Crystal system: cubic
Uncorrected formation energy in eV per atom: -0.59

a b c (Å): 4.771 4.771 4.771
angles (deg): 60.00 60.00 60.00
Positions (direct):
Sb (0.500, 0.500, 0.500)
Cu (0.750, 0.750, 0.750)
Ho (0.000, 0.000, 0.000)
Pd (0.250, 0.250, 0.250)



[2]
HfZnPd: relaxed, PBE.

## Properties
VASP energy in eV/atom: -5.2962
Total moment in μB/atom: 0.000
Crystal system: tetragonal

a b c (Å): 2.852 2.852 7.422
angles (deg): 101.08 101.08 90.00
Positions (direct):
Zn (0.127, 0.127, 0.254)
Hf (0.773, 0.773, 0.547)
Pd (0.950, 0.950, 0.900)



[3]
Hf3BRh: relaxed, PBE.

## Properties
Polymorph energy (0 for the lowest one) in eV/f.u.: 0.00
Total moment in μB/atom: 0.000
Crystal system: cubic

a b c (Å): 4.503 4.503 4.503
angles (deg): 90.00 90.00 90.00
Positions (direct):
Hf (0.500, 0.000, 0.000)
Hf (0.000, 0.500, 0.000)
Hf (0.000, 0.000, 0.500)
Rh (0.500, 0.500, 0.500)
B (0.000, 0.000, 0.000)



[4]
HfTiTe: relaxed, PBE.

## Properties
Polymorph energy (0 for the lowest one) in eV/f.u.: 0.00
Total moment in μB/atom: 0.000
Crystal system: triclinic
Uncorrected formation energy in eV per atom: -0.40

a b c (Å): 3.660 7.069 5.655
angles (deg): 103.06 108.84 105.05
Positions (direct):
Te (0.990, 0.663, 0.318)
Te (0.010, 0.337, 0.682)
Hf (0.248, 0.282, 0.212)
Hf (0.752, 0.718, 0.788)
Ti (0.397, 0.043, 0.751)
Ti (0.603, 0.957, 0.249)



[5]
Sc5In2TcRh2: relaxed, PBE.

## Properties
VASP energy in eV/atom: -6.7261
Total moment in μB/atom: 0.000
Crystal system: tetragonal

a b c (Å): 3.329 11.019 11.019
angles (deg): 90.00 90.00 90.00
Positions (direct):
Sc (0.500, 0.693, 0.438)
Sc (0.500, 0.193, 0.062)
Sc (0.500, 0.807, 0.938)
Sc (0.500, 0.938, 0.193)
Sc (0.500, 0.062, 0.807)
Sc (0.500, 0.500, 0.000)
Sc (0.500, 0.307, 0.562)
Sc (0.500, 0.438, 0.307)
Sc (0.500, 0.562, 0.693)
Sc (0.500, 0.000, 0.500)
In (0.000, 0.677, 0.177)
In (0.000, 0.177, 0.323)
In (0.000, 0.323, 0.823)
In (0.000, 0.823, 0.677)
Rh (0.000, 0.368, 0.132)
Rh (0.000, 0.868, 0.368)
Rh (0.000, 0.632, 0.868)
Rh (0.000, 0.132, 0.632)
Tc (0.000, 0.000, 0.000)
Tc (0.000, 0.500, 0.500)



[6]
TbZn2CdAu5: relaxed, PBE.

## Properties
VASP energy in eV/atom: -3.0126
Total moment in μB/atom: 0.000
Crystal system: tetragonal

a b c (Å): 4.816 4.816 7.851
angles (deg): 90.00 90.00 90.00
Positions (direct):
Tb (0.000, 0.000, 0.500)
Cd (0.000, 0.000, 0.000)
Au (0.000, 0.500, 0.264)
Au (0.500, 0.000, 0.264)
Au (0.000, 0.500, 0.736)
Au (0.500, 0.000, 0.736)
Au (0.500, 0.500, 0.500)
Zn (0.500, 0.500, 0.153)
Zn (0.500, 0.500, 0.847)



[7]
AcMg9Ag3: relaxed, PBE.

## Properties
VASP energy in eV/atom: -2.2476
Total moment in μB/atom: 0.000
Crystal system: monoclinic

a b c (Å): 5.660 7.712 7.750
angles (deg): 82.47 68.58 68.98
Positions (direct):
Ag (0.500, 0.500, 0.000)
Ag (0.500, 0.000, 0.500)
Ag (0.000, 0.000, 0.500)
Mg (0.006, 0.343, 0.643)
Mg (0.489, 0.786, 0.223)
Mg (0.511, 0.214, 0.777)
Mg (0.994, 0.657, 0.357)
Mg (0.650, 0.343, 0.357)
Mg (0.712, 0.786, 0.777)
Mg (0.288, 0.214, 0.223)
Mg (0.000, 0.500, 0.000)
Mg (0.350, 0.657, 0.643)
Ac (0.000, 0.000, 0.000)



[8]
Cs12Na3F5: relaxed, PBE.

## Properties
Total moment in μB/atom: 0.000
Crystal system: cubic
Uncorrected formation energy in eV per atom: -1.24

a b c (Å): 18.060 18.060 18.060
angles (deg): 109.47 109.47 109.47
Positions (direct):
Cs (0.895, 0.578, 0.890)
Cs (0.313, 0.817, 0.422)
Cs (0.578, 0.895, 0.390)
Cs (0.996, 0.605, 0.683)
Cs (0.610, 0.605, 0.422)
Cs (0.922, 0.110, 0.605)
Cs (0.504, 0.817, 0.895)
Cs (0.317, 0.422, 0.813)
Cs (0.813, 0.922, 0.317)
Cs (0.605, 0.610, 0.922)
Cs (0.504, 0.687, 0.110)
Cs (0.313, 0.496, 0.390)
Cs (0.605, 0.996, 0.183)
Cs (0.817, 0.504, 0.395)
Cs (0.687, 0.183, 0.578)
Cs (0.395, 0.390, 0.078)
Cs (0.187, 0.078, 0.683)
Cs (0.183, 0.496, 0.605)
Cs (0.813, 0.890, 0.996)
Cs (0.110, 0.187, 0.504)
Cs (0.187, 0.110, 0.004)
Cs (0.105, 0.422, 0.110)
Cs (0.004, 0.610, 0.187)
Cs (0.422, 0.105, 0.610)
Cs (0.922, 0.813, 0.817)
Cs (0.996, 0.390, 0.813)
Cs (0.578, 0.683, 0.687)
Cs (0.422, 0.317, 0.313)
Cs (0.395, 0.004, 0.817)
Cs (0.817, 0.313, 0.922)
Cs (0.610, 0.004, 0.687)
Cs (0.110, 0.922, 0.105)
Cs (0.390, 0.395, 0.578)
Cs (0.004, 0.395, 0.317)
Cs (0.078, 0.187, 0.183)
Cs (0.390, 0.996, 0.313)
Cs (0.183, 0.687, 0.078)
Cs (0.105, 0.683, 0.496)
Cs (0.683, 0.578, 0.187)
Cs (0.496, 0.183, 0.105)
Cs (0.895, 0.317, 0.504)
Cs (0.687, 0.504, 0.610)
Cs (0.078, 0.890, 0.395)
Cs (0.496, 0.313, 0.890)
Cs (0.317, 0.895, 0.004)
Cs (0.890, 0.078, 0.895)
Cs (0.683, 0.105, 0.996)
Cs (0.890, 0.813, 0.496)
F (0.625, 0.750, 0.875)
F (0.125, 0.375, 0.250)
F (0.500, 0.500, 0.500)
F (0.500, 0.000, 0.500)
F (0.000, 0.000, 0.500)
F (0.375, 0.125, 0.750)
F (0.875, 0.250, 0.625)
F (0.000, 0.500, 0.000)
F (0.250, 0.375, 0.625)
F (0.500, 0.500, 0.000)
F (0.625, 0.875, 0.250)
F (0.125, 0.750, 0.375)
F (0.375, 0.250, 0.125)
F (0.750, 0.125, 0.875)
F (0.875, 0.625, 0.750)
F (0.750, 0.625, 0.375)
F (0.250, 0.875, 0.125)
F (0.000, 0.500, 0.500)
F (0.000, 0.000, 0.000)
F (0.500, 0.000, 0.000)
Na (0.375, 0.625, 0.250)
Na (0.375, 0.750, 0.625)
Na (0.125, 0.875, 0.750)
Na (0.750, 0.375, 0.125)
Na (0.875, 0.750, 0.125)
Na (0.875, 0.125, 0.250)
Na (0.250, 0.125, 0.375)
Na (0.625, 0.250, 0.375)
Na (0.625, 0.375, 0.750)
Na (0.250, 0.625, 0.875)
Na (0.125, 0.250, 0.875)
Na (0.750, 0.875, 0.625)



- What is the total moment in the third record?
  0.000 μB/atom